Record 1
CuSnBiS2 | PBE | optimized geometry

Values from the calculation:
density of states at the Fermi level	0.6969	states/eV/atom
raw formation energy	0.286	eV/atom
volume	112.5	Å³/f.u.

a = 4.580 Å, b = 4.580 Å, c = 5.361 Å
α = 90.00°, β = 90.00°, γ = 90.00°
Atoms (fractional coordinates):
Cu 0.000 0.000 0.000
Sn 0.000 0.000 0.500
Bi 0.500 0.500 0.500
S 0.000 0.500 0.000
S 0.500 0.000 0.000

---

Record 2
Ga2CuTc | PBE | optimized geometry

Values from the calculation:
density of states at the Fermi level	0.4704	states/eV/atom
offset from the most stable computed form	0.130	eV per atom
volume	56.3	Å³/f.u.

a = 4.303 Å, b = 4.303 Å, c = 4.303 Å
α = 60.00°, β = 60.00°, γ = 60.00°
Atoms (fractional coordinates):
Ga 0.250 0.250 0.250
Ga 0.750 0.750 0.750
Cu 0.000 0.000 0.000
Tc 0.500 0.500 0.500